(1)
Material: ScTa2VGe
Method: DFT, PBE-GGA
State: relaxed

Structure (POSCAR):
```
ScTa2VGe
1.0
4.667 0.000 0.000
0.000 4.667 0.000
0.000 0.000 4.708
Sc Ta V Ge
1 2 1 1
Cartesian
0.000 0.000 0.000
0.000 2.334 2.354
2.334 0.000 2.354
2.334 2.334 2.354
2.334 2.334 0.000
```

Summary:
total moment = 0.0 μB per formula unit
crystal system = tetragonal
E_tot = -40.2 eV per formula unit
E_form = 3.5 eV/f.u.
SG = P4/mmm, No. 123

(2)
Material: TbScGe
Method: DFT, PBE-GGA
State: relaxed

Structure (POSCAR):
```
TbScGe
1.0
6.716 0.000 0.000
0.000 6.716 0.000
0.000 0.000 6.716
Tb Sc Ge
4 4 4
Cartesian
0.000 0.000 0.000
0.000 3.358 3.358
3.358 0.000 3.358
3.358 3.358 0.000
0.000 0.000 3.358
0.000 3.358 0.000
3.358 0.000 0.000
3.358 3.358 3.358
1.679 1.679 1.679
1.679 5.037 5.037
5.037 1.679 5.037
5.037 5.037 1.679
```

Summary:
total moment = 0.0 μB per formula unit
relative energy among the computed polymorphs = 0.193 eV per atom
crystal system = cubic
E_tot = -17.2 eV per formula unit
E_form = -1.6 eV/f.u.
SG = F-43m, No. 216